{
  "formula": "NdFeNi",
  "functional": "PBE",
  "state": "optimized geometry",
  "cell": [[-1.180, 0.378, -3.951], [-2.391, -6.177, 0.124], [-2.408, 4.329, 1.133]],
  "species": ["Ni", "Ni", "Fe", "Fe", "Nd", "Nd"],
  "frac_coords": [[0.250, 0.103, 0.190], [0.750, 0.897, 0.810], [0.250, 0.966, 0.600], [0.750, 0.034, 0.400], [0.250, 0.589, 0.830], [0.750, 0.411, 0.170]],
  "n_ef_per_ev_cell": 7.58,
  "formation_energy_kj_per_mol_atoms": 0,
  "sg": "P2_1/m",
  "crystal_system": "monoclinic"
}